The following is a DFT calculation (PBE) of crystalline CeNiTe2 at its relaxed geometry.

Calculated values
E_form (uncorrected), eV/atom: -0.94
Energy above the most stable polymorph in this dataset, meV per atom: 0.0
Total magnetization, μB per formula unit: 0.39
Total energy, eV for the cell shown: -87.015
Space-group type: Pnma, No. 62

Cell lengths 8.6536, 4.1988, 11.6117 Å; angles 90.00, 90.00, 90.00 degrees
Last column: nearest neighbours and their distance in Å.
Positions (direct):
Ce1 0.1955 0.2500 0.1701  3 Ni 2.99-3.21, 6 Te 3.13-3.27
Ce2 0.3045 0.7500 0.6701  3 Ni 2.99-3.21, 6 Te 3.13-3.27
Ce3 0.6955 0.2500 0.3299  3 Ni 2.99-3.21, 6 Te 3.13-3.27
Ce4 0.8045 0.7500 0.8299  3 Ni 2.99-3.21, 6 Te 3.13-3.27
Ni1 0.0448 0.2500 0.9383  4 Te 2.57-2.60, 2 Ni 2.66
Ni2 0.4552 0.7500 0.4383  4 Te 2.57-2.60, 2 Ni 2.66
Ni3 0.5448 0.2500 0.5617  4 Te 2.57-2.60, 2 Ni 2.66
Ni4 0.9552 0.7500 0.0617  4 Te 2.57-2.60, 2 Ni 2.66
Te1 0.0231 0.2500 0.7147  1 Ni 2.60
Te2 0.2148 0.7500 0.9547  3 Ni 2.57
Te3 0.2852 0.2500 0.4547  3 Ni 2.57
Te4 0.4769 0.7500 0.2147  1 Ni 2.60
Te5 0.5231 0.2500 0.7853  1 Ni 2.60
Te6 0.7148 0.7500 0.5453  3 Ni 2.57
Te7 0.7852 0.2500 0.0453  3 Ni 2.57
Te8 0.9769 0.7500 0.2853  1 Ni 2.60

The following is a DFT calculation (PBE) of crystalline CeDy2Se at its relaxed geometry.

Calculated values
E_form (uncorrected), eV/atom: -0.51
Energy above the most stable polymorph in this dataset, meV per atom: 220.6
Total magnetization, μB per formula unit: 1.16
Total energy, eV for the cell shown: -20.647
Space-group type: R-3m, No. 166

Cell lengths 10.6021, 10.6021, 10.6021 Å; angles 19.90, 19.90, 19.90 degrees
Last column: nearest neighbours and their distance in Å.
Positions (direct):
Ce1 0.0000 0.0000 0.0000  2 Dy 3.35, 6 Ce 3.66
Dy1 0.1076 0.1076 0.1076  3 Se 2.80
Dy2 0.8924 0.8924 0.8924  3 Se 2.80
Se1 0.5000 0.5000 0.5000  6 Dy 2.80

The following is a DFT calculation (PBE) of crystalline InAs2Rh2 at its relaxed geometry.

Calculated values
DFT formation energy, eV/atom: -0.16
Energy above the most stable polymorph in this dataset, meV per atom: 164.2
Total magnetization, μB per formula unit: 0.00
Total energy, eV for the cell shown: -55.098
Space-group type: P4/mbm, No. 127

Cell lengths 7.5434, 7.5434, 3.0880 Å; angles 90.00, 90.00, 90.00 degrees
Last column: nearest neighbours and their distance in Å.
Positions (direct):
In1 0.0000 0.0000 0.0000  4 Rh 2.93, 2 In 3.09
In2 0.5000 0.5000 0.0000  4 Rh 2.93, 2 In 3.09
As1 0.1430 0.3570 0.5000  6 Rh 2.61-2.81
As2 0.3570 0.8570 0.5000  6 Rh 2.61-2.81
As3 0.6430 0.1430 0.5000  6 Rh 2.61-2.81
As4 0.8570 0.6430 0.5000  6 Rh 2.61-2.81
Rh1 0.1366 0.6366 0.0000  6 As 2.61-2.81, 1 Rh 2.91
Rh2 0.3634 0.1366 0.0000  6 As 2.61-2.81, 1 Rh 2.91
Rh3 0.6366 0.8634 0.0000  6 As 2.61-2.81, 1 Rh 2.91
Rh4 0.8634 0.3634 0.0000  6 As 2.61-2.81, 1 Rh 2.91

The following is a DFT calculation (PBE) of crystalline MgTaSi2 at its relaxed geometry.

Calculated values
E_form (uncorrected), eV/atom: 0.02
Total magnetization, μB per formula unit: 0.00
Total energy, eV for the cell shown: -24.197
Space-group type: C2/m, No. 12

Cell lengths 4.8439, 4.8439, 2.8474 Å; angles 93.53, 93.53, 106.47 degrees
Last column: nearest neighbours and their distance in Å.
Positions (direct):
Mg1 0.0000 0.0000 0.0000  8 Si 2.73-2.88, 2 Mg 2.85, 2 Ta 2.90
Ta1 0.5000 0.5000 0.0000  8 Si 2.73-2.88, 2 Ta 2.85, 2 Mg 2.90
Si1 0.0000 0.5000 0.5000  4 Ta 2.73-2.88, 4 Mg 2.73-2.88, 4 Si 2.85-2.90
Si2 0.5000 0.0000 0.5000  4 Ta 2.73-2.88, 4 Mg 2.73-2.88, 4 Si 2.85-2.90

The following is a DFT calculation (PBE) of crystalline La2SiMo at its relaxed geometry.

Calculated values
E_form (uncorrected), eV/atom: -0.16
Total magnetization, μB per formula unit: 0.00
Total energy, eV for the cell shown: -26.756
Space-group type: P4mm, No. 99

Cell lengths 3.4933, 3.4933, 8.4497 Å; angles 90.00, 90.00, 90.00 degrees
Last column: nearest neighbours and their distance in Å.
Positions (direct):
La1 0.0000 0.0000 0.0000  1 Mo 2.73
La2 0.5000 0.5000 0.4203  1 Si 3.01, 4 Mo 3.29
Si1 0.5000 0.5000 0.7766  4 Mo 2.61
Mo1 0.0000 0.0000 0.6767  4 Si 2.61, 1 La 2.73

The following is a DFT calculation (PBE) of crystalline Sc3PaC2 at its relaxed geometry.

Calculated values
DFT formation energy, eV/atom: -0.38
Total magnetization, μB per formula unit: 0.00
Total energy, eV for the cell shown: -98.464
Space-group type: C2/m, No. 12

Cell lengths 7.8339, 7.8339, 11.1528 Å; angles 129.49, 129.49, 24.58 degrees
Last column: nearest neighbours and their distance in Å.
Positions (direct):
Sc1 0.0546 0.0546 0.1935  3 C 2.27-2.34
Sc2 0.2007 0.2007 0.5617  3 C 2.29-2.31
Sc3 0.3073 0.3073 0.9462  3 C 2.31-2.34
Sc4 0.6927 0.6927 0.0538  3 C 2.31-2.34
Sc5 0.7993 0.7993 0.4383  3 C 2.29-2.31
Sc6 0.9454 0.9454 0.8065  3 C 2.27-2.34
Pa1 0.4476 0.4476 0.3329  3 C 2.41-2.42
Pa2 0.5524 0.5524 0.6671  3 C 2.41-2.42
C1 0.1233 0.1233 0.8675  4 Sc 2.31-2.34, 2 Pa 2.41
C2 0.3766 0.3766 0.6263  5 Sc 2.27-2.31, 1 Pa 2.42
C3 0.6234 0.6234 0.3737  5 Sc 2.27-2.31, 1 Pa 2.42
C4 0.8767 0.8767 0.1325  4 Sc 2.31-2.34, 2 Pa 2.41